Entry 1:
Density functional theory data (meta-GGA SCAN) for CeSiIr at its PBEsol-relaxed geometry.

Properties
ΔE_f (raw) in eV/atom: -1.05
Crystal system: cubic
M_tot in μB per atom: 0.259

a = 6.2434 Å, b = 6.2434 Å, c = 6.2434 Å
α = 90.00°, β = 90.00°, γ = 90.00°
Last column: nearest neighbours and their distance in Å.
Space group P2_13 (No. 198)
One atom of each set of equivalent atoms:
Ce1 0.1259 0.1259 0.1259  3 Ir 2.98, 4 Si 3.15
Si1 0.0826 0.5826 0.9174  3 Ir 2.32
Ir1 0.1906 0.3094 0.6906  3 Si 2.32

Entry 2:
Density functional theory data (meta-GGA SCAN) for Mn2SiPt at its PBEsol-relaxed geometry.

Properties
ΔE_f (raw) in eV/atom: -0.35
Crystal system: tetragonal
M_tot in μB per atom: 1.235

a = 2.6905 Å, b = 2.6905 Å, c = 6.5350 Å
α = 90.00°, β = 90.00°, γ = 90.00°
Last column: nearest neighbours and their distance in Å.
Space group P4/mmm (No. 123)
One atom of each set of equivalent atoms:
Mn1 0.0000 0.0000 0.2186  4 Si 2.38, 4 Pt 2.65
Si1 0.5000 0.5000 0.0000  8 Mn 2.38
Pt1 0.5000 0.5000 0.5000  8 Mn 2.65, 4 Pt 2.69

Entry 3:
Density functional theory data (meta-GGA SCAN) for TaMo3 at its PBEsol-relaxed geometry.

Properties
Crystal system: orthorhombic
Energy in eV per atom: -42.940
M_tot in μB per atom: 0.000

a = 6.3266 Å, b = 8.9746 Å, c = 4.4498 Å
α = 90.00°, β = 90.00°, γ = 90.00°
Last column: nearest neighbours and their distance in Å.
Space group Cmcm (No. 63)
One atom of each set of equivalent atoms:
Ta1 0.0000 0.1237 0.2500  8 Mo 2.74-2.75
Mo1 0.0000 0.3738 0.7500  8 Mo 2.72-2.75
Mo2 0.2470 0.3750 0.2500  4 Mo 2.72-2.75, 4 Ta 2.74-2.75

Entry 4:
Density functional theory data (meta-GGA SCAN) for CaCdAg at its PBEsol-relaxed geometry.

Properties
Crystal system: cubic
Energy in eV per atom: -24.037
M_tot in μB per atom: 0.000

a = 6.7810 Å, b = 6.7810 Å, c = 6.7810 Å
α = 90.00°, β = 90.00°, γ = 90.00°
Last column: nearest neighbours and their distance in Å.
Space group F-43m (No. 216)
One atom of each set of equivalent atoms:
Ca1 0.0000 0.0000 0.0000  4 Ag 2.94
Cd1 0.0000 0.0000 0.5000  4 Ag 2.94
Ag1 0.2500 0.2500 0.7500  4 Cd 2.94, 4 Ca 2.94

Entry 5:
Density functional theory data (meta-GGA SCAN) for IrOs3 at its PBEsol-relaxed geometry.

Properties
Crystal system: orthorhombic
Energy in eV per atom: -71.684
M_tot in μB per atom: 0.000

a = 2.7263 Å, b = 4.3258 Å, c = 4.7289 Å
α = 90.00°, β = 90.00°, γ = 90.00°
Last column: nearest neighbours and their distance in Å.
Space group Pmm2 (No. 25)
One atom of each set of equivalent atoms:
Ir1 0.0000 0.0000 0.0000  10 Os 2.67-2.73, 2 Ir 2.73
Os1 0.0000 0.5000 0.3326  2 Ir 2.67, 10 Os 2.68-2.73
Os2 0.5000 0.0000 0.5010  8 Os 2.67-2.73, 4 Ir 2.73
Os3 0.5000 0.5000 0.8324  8 Os 2.67-2.73, 4 Ir 2.68

Entry 6:
Density functional theory data (meta-GGA SCAN) for MgCI2N at its PBEsol-relaxed geometry.

Properties
ΔE_f (raw) in eV/atom: 0.89
Crystal system: tetragonal
M_tot in μB per atom: 0.000

a = 7.0044 Å, b = 7.0044 Å, c = 2.6719 Å
α = 90.00°, β = 90.00°, γ = 90.00°
Last column: nearest neighbours and their distance in Å.
Space group P4/mmm (No. 123)
One atom of each set of equivalent atoms:
Mg1 0.0000 0.0000 0.0000  2 Mg 2.67
C1 0.5000 0.5000 0.5000  2 N 1.34
I1 0.0000 0.5000 0.5000  2 I 2.67
N1 0.5000 0.5000 0.0000  2 C 1.34